No. 1
DFT (PBE) results for a relaxed structure of Rb2LiPbI5.

Results
The calculation puts the calculated volume at 402.8 Å³/f.u. As for the total energy: -51.425 eV for the cell shown.

Lattice parameters (Å, degrees): 4.830 10.854 15.762 90.00 90.00 102.86
Atoms (fractional coordinates):
Li (0.561, 0.122, 0.934)
Li (0.439, 0.878, 0.434)
I (0.284, 0.568, 0.669)
I (0.501, 0.001, 0.782)
I (0.693, 0.387, 0.886)
I (0.051, 0.103, 0.026)
I (0.499, 0.999, 0.282)
I (0.307, 0.613, 0.386)
I (0.644, 0.287, 0.504)
I (0.356, 0.713, 0.004)
I (0.716, 0.432, 0.169)
I (0.949, 0.897, 0.526)
Rb (0.899, 0.798, 0.174)
Rb (0.875, 0.750, 0.822)
Rb (0.101, 0.202, 0.674)
Rb (0.125, 0.250, 0.322)
Pb (0.207, 0.413, 0.027)
Pb (0.793, 0.587, 0.527)



No. 2
DFT (PBE) results for a relaxed structure of Ta2NiH.

Results
The calculation puts the calculated volume at 51.7 Å³/f.u. As for the total energy: -65.378 eV for the cell shown. The value obtained for the distance to the lowest polymorph of the same formula is 0.10 eV/f.u.

Lattice parameters (Å, degrees): 5.876 5.876 5.121 54.99 54.99 90.00
Atoms (fractional coordinates):
Ta (0.875, 0.812, 0.750)
Ta (0.375, 0.438, 0.750)
Ta (0.562, 0.125, 0.250)
Ta (0.188, 0.625, 0.250)
Ni (0.000, 0.000, 0.000)
Ni (0.750, 0.250, 0.500)
H (0.500, 0.500, 0.000)
H (0.250, 0.750, 0.500)



No. 3
DFT (PBE) results for a relaxed structure of Mn3Fe11.

Results
The calculation puts the calculated volume at 160.5 Å³/f.u. The value obtained for the formation energy is 0.249 eV per atom. As for the total energy: -117.112 eV for the cell shown.

Lattice parameters (Å, degrees): 3.860 6.733 6.733 83.74 73.34 73.34
Atoms (fractional coordinates):
Fe (0.144, 0.126, 0.585)
Fe (0.362, 0.016, 0.260)
Fe (0.638, 0.740, 0.984)
Fe (0.000, 0.500, 0.500)
Fe (0.638, 0.984, 0.740)
Fe (0.144, 0.585, 0.126)
Fe (0.856, 0.415, 0.874)
Fe (0.362, 0.260, 0.016)
Fe (0.856, 0.874, 0.415)
Fe (0.500, 0.652, 0.348)
Fe (0.500, 0.348, 0.652)
Mn (0.000, 0.000, 0.000)
Mn (0.279, 0.721, 0.721)
Mn (0.721, 0.279, 0.279)



No. 4
DFT (PBE) results for a relaxed structure of AcYHg4.

Results
The calculation puts the calculated volume at 162.1 Å³/f.u. The value obtained for the formation energy is -0.408 eV per atom. As for the total energy: -14.230 eV for the cell shown. The value obtained for the distance to the lowest polymorph of the same formula is 0.00 eV/f.u.

Lattice parameters (Å, degrees): 3.646 5.085 8.743 90.00 90.00 90.00
Atoms (fractional coordinates):
Hg (0.498, 0.997, 0.838)
Hg (0.499, 0.497, 0.675)
Hg (0.499, 0.997, 0.159)
Hg (0.499, 0.497, 0.321)
Y (0.999, 0.497, 0.998)
Ac (0.999, 0.997, 0.498)



No. 5
DFT (PBE) results for a relaxed structure of LaBeI2N.

Results
The calculation puts the calculated volume at 113.7 Å³/f.u. As for the total energy: -21.174 eV for the cell shown. The value obtained for the distance to the lowest polymorph of the same formula is 0.00 eV/f.u.

Lattice parameters (Å, degrees): 5.730 5.730 3.461 90.00 90.00 90.00
Atoms (fractional coordinates):
N (0.000, 0.000, 0.500)
La (0.500, 0.500, 0.500)
I (0.000, 0.500, 0.000)
I (0.500, 0.000, 0.000)
Be (0.000, 0.000, 0.000)



No. 6
DFT (PBE) results for a relaxed structure of Mn2NbW.

Results
The calculation puts the calculated volume at 56.0 Å³/f.u. The value obtained for the formation energy is 0.012 eV per atom. As for the total energy: -41.314 eV for the cell shown.

Lattice parameters (Å, degrees): 3.008 3.008 6.189 90.00 90.00 90.00
Atoms (fractional coordinates):
Nb (0.500, 0.500, 0.500)
W (0.500, 0.500, 0.000)
Mn (0.000, 0.000, 0.763)
Mn (0.000, 0.000, 0.237)



No. 7
DFT (PBE) results for a relaxed structure of PrInGa2Pd2.

Results
The calculation puts the calculated volume at 120.5 Å³/f.u. The value obtained for the formation energy is -0.661 eV per atom. As for the total energy: -27.926 eV for the cell shown.

Lattice parameters (Å, degrees): 4.448 4.448 7.033 90.00 90.00 120.00
Atoms (fractional coordinates):
Pd (0.667, 0.333, 0.666)
Pd (0.333, 0.667, 0.334)
Pr (0.000, 0.000, 0.000)
In (0.000, 0.000, 0.500)
Ga (0.333, 0.667, 0.742)
Ga (0.667, 0.333, 0.258)



No. 8
DFT (PBE) results for a relaxed structure of Li2Ac3Cd4.

Results
The calculation puts the calculated volume at 263.0 Å³/f.u. The value obtained for the formation energy is -0.238 eV per atom. As for the total energy: -21.958 eV for the cell shown.

Lattice parameters (Å, degrees): 5.519 5.771 9.547 98.71 90.00 118.57
Atoms (fractional coordinates):
Cd (0.926, 0.853, 0.621)
Cd (0.691, 0.382, 0.096)
Cd (0.309, 0.618, 0.904)
Cd (0.074, 0.147, 0.379)
Ac (0.619, 0.237, 0.726)
Ac (0.381, 0.763, 0.274)
Ac (0.000, 0.000, 0.000)
Li (0.723, 0.447, 0.391)
Li (0.277, 0.553, 0.609)



No. 9
DFT (PBE) results for a relaxed structure of La12Y3Cd.

Results
The calculation puts the calculated volume at 559.9 Å³/f.u. The value obtained for the formation energy is -0.022 eV per atom. As for the total energy: -79.789 eV for the cell shown.

Lattice parameters (Å, degrees): 5.180 5.180 20.865 90.00 90.00 90.00
Atoms (fractional coordinates):
La (0.500, 0.500, 0.000)
La (0.500, 0.500, 0.248)
La (0.500, 0.000, 0.626)
La (0.000, 0.500, 0.878)
La (0.000, 0.500, 0.374)
La (0.500, 0.000, 0.878)
La (0.500, 0.500, 0.752)
La (0.500, 0.000, 0.122)
La (0.000, 0.500, 0.626)
La (0.500, 0.000, 0.374)
La (0.500, 0.500, 0.500)
La (0.000, 0.500, 0.122)
Y (0.000, 0.000, 0.752)
Y (0.000, 0.000, 0.248)
Y (0.000, 0.000, 0.500)
Cd (0.000, 0.000, 0.000)



No. 10
DFT (PBE) results for a relaxed structure of CuSb2Pt.

Results
The calculation puts the calculated volume at 79.0 Å³/f.u. As for the total energy: -18.944 eV for the cell shown.

Lattice parameters (Å, degrees): 3.971 3.911 5.388 70.81 90.00 90.00
Atoms (fractional coordinates):
Sb (0.500, 0.270, 0.345)
Sb (0.000, 0.964, 0.920)
Pt (0.500, 0.524, 0.793)
Cu (0.000, 0.741, 0.442)



No. 11
DFT (PBE) results for a relaxed structure of Pm4Pd2N.

Results
The calculation puts the calculated volume at 173.4 Å³/f.u. As for the total energy: -43.019 eV for the cell shown. The value obtained for the distance to the lowest polymorph of the same formula is 0.52 eV/f.u.

Lattice parameters (Å, degrees): 4.872 4.872 8.078 107.55 107.55 90.00
Atoms (fractional coordinates):
Pm (0.178, 0.178, 0.356)
Pm (0.000, 0.500, 0.000)
Pm (0.822, 0.822, 0.644)
Pm (0.500, 0.000, 0.000)
Pd (0.629, 0.629, 0.259)
Pd (0.371, 0.371, 0.741)
N (0.000, 0.000, 0.000)



No. 12
DFT (PBE) results for a relaxed structure of HfMgSe2Br.

Results
The calculation puts the calculated volume at 122.0 Å³/f.u. As for the total energy: -20.596 eV for the cell shown. The value obtained for the distance to the lowest polymorph of the same formula is 2.92 eV/f.u.

Lattice parameters (Å, degrees): 5.051 5.051 4.784 90.00 90.00 90.00
Atoms (fractional coordinates):
Mg (0.000, 0.000, 0.000)
Hf (0.500, 0.500, 0.500)
Se (0.500, 0.000, 0.000)
Se (0.000, 0.500, 0.000)
Br (0.000, 0.000, 0.500)



Q: Which value of calculated volume does entry 8 give?
A: 263.0 Å³/f.u.



Q: What is the formula in the second record?
A: Ta2NiH



Q: What is the formula in the fourth record?
A: AcYHg4